First-principles (PBE) data for a relaxed structure of SrNd3Cd2, as listed in Alexandria.

Calculated values
Space group: Pmc2_1, No. 26
ΔE_f (eV per atom): -0.1651
Crystal system: orthorhombic
Volume (Å³/cell): 391.5

a b c (Å): 5.4680 9.8806 7.2471
angles (deg): 90.00 90.00 90.00
Atoms (fractional coordinates):
Sr: 0.0000 0.0464 0.0000
Sr: 0.0000 0.9536 0.5000
Nd: 0.0000 0.3331 0.6624
Nd: 0.0000 0.6669 0.1624
Nd: 0.5000 0.1826 0.3104
Nd: 0.5000 0.4517 0.9708
Nd: 0.5000 0.5483 0.4708
Nd: 0.5000 0.8174 0.8104
Cd: 0.0000 0.3506 0.2175
Cd: 0.0000 0.6494 0.7175
Cd: 0.5000 0.1538 0.7517
Cd: 0.5000 0.8462 0.2517

First-principles (PBE) data for a relaxed structure of SrNdCd6, as listed in Alexandria.

Calculated values
Space group: Amm2, No. 38
ΔE_f (eV per atom): -0.2713
Crystal system: orthorhombic
Volume (Å³/cell): 210.3

a b c (Å): 5.0561 6.8475 6.8475
angles (deg): 62.51 90.00 90.00
Atoms (fractional coordinates):
Sr: 0.0000 0.0000 0.0000
Nd: 0.5000 0.6961 0.6961
Cd: 0.0000 0.0372 0.4859
Cd: 0.0000 0.4859 0.0372
Cd: 0.0000 0.5176 0.5176
Cd: 0.5000 0.1895 0.1895
Cd: 0.5000 0.2163 0.6465
Cd: 0.5000 0.6465 0.2163

First-principles (PBE) data for a relaxed structure of SrNd2Cd, as listed in Alexandria.

Calculated values
Space group: R-3m, No. 166
ΔE_f (eV per atom): 0.1422
Energy above the lowest structure with this stoichiometry (meV per atom): 200
Crystal system: trigonal
Volume (Å³/cell): 148.1

a b c (Å): 12.6018 12.6018 12.6018
angles (deg): 16.94 16.94 16.94
Atoms (fractional coordinates):
Sr: 0.0000 0.0000 0.0000
Nd: 0.0993 0.0993 0.0993
Nd: 0.9007 0.9007 0.9007
Cd: 0.5000 0.5000 0.5000

First-principles (PBE) data for a relaxed structure of Sr2NdCd3, as listed in Alexandria.

Calculated values
Space group: P4/mmm, No. 123
ΔE_f (eV per atom): -0.3242
Energy above the lowest structure with this stoichiometry (meV per atom): 0
Crystal system: tetragonal
Volume (Å³/cell): 190.4

a b c (Å): 3.9669 3.9669 12.0962
angles (deg): 90.00 90.00 90.00
Atoms (fractional coordinates):
Sr: 0.0000 0.0000 0.1721
Sr: 0.0000 0.0000 0.8279
Nd: 0.0000 0.0000 0.5000
Cd: 0.5000 0.5000 0.0000
Cd: 0.5000 0.5000 0.3505
Cd: 0.5000 0.5000 0.6495